# 1
A geometry-optimized ZrAgAs2 structure, computed with PBE-GGA.

**Space-group type**: Pmmm, No. 47
**M_tot**: 0.0 μB/f.u.
**Calculated density**: 6.6 g/cm³
**ΔH_f (0 K)**: -0.359 eV/atom

a = 2.966 Å, b = 3.773 Å, c = 7.853 Å
α = 90.00°, β = 90.00°, γ = 90.00°
Sites, in units of the cell vectors:
Zr (0.000, 0.000, 0.000)
Ag (0.000, 0.500, 0.500)
As (0.500, 0.500, 0.207)
As (0.500, 0.500, 0.793)

# 2
A geometry-optimized TlFeC2Cl structure, computed with PBE-GGA.

**Energy above the lowest structure with this stoichiometry**: 327 meV/atom
**Space-group type**: P4/mmm, No. 123
**M_tot**: 1.7 μB/f.u.
**Calculated density**: 5.2 g/cm³

a = 4.282 Å, b = 4.282 Å, c = 5.554 Å
α = 90.00°, β = 90.00°, γ = 90.00°
Sites, in units of the cell vectors:
Tl (0.000, 0.000, 0.000)
Fe (0.500, 0.500, 0.500)
C (0.000, 0.500, 0.000)
C (0.500, 0.000, 0.000)
Cl (0.000, 0.000, 0.500)

# 3
A geometry-optimized Pa2BeVN6 structure, computed with PBE-GGA.

**Electronic total energy**: -184.16 eV/cell
**Space-group type**: P2_1/c, No. 14
**M_tot**: 0.0 μB/f.u.
**Calculated density**: 9.3 g/cm³

a = 5.307 Å, b = 5.544 Å, c = 9.042 Å
α = 90.00°, β = 125.57°, γ = 90.00°
Sites, in units of the cell vectors:
Pa (0.235, 0.072, 0.248)
Pa (0.235, 0.428, 0.748)
Pa (0.765, 0.572, 0.252)
Pa (0.765, 0.928, 0.752)
Be (0.000, 0.000, 0.500)
Be (0.000, 0.500, 0.000)
V (0.500, 0.000, 0.000)
V (0.500, 0.500, 0.500)
N (0.144, 0.185, 0.952)
N (0.144, 0.315, 0.452)
N (0.267, 0.690, 0.953)
N (0.267, 0.810, 0.453)
N (0.333, 0.027, 0.744)
N (0.333, 0.473, 0.244)
N (0.667, 0.527, 0.756)
N (0.667, 0.973, 0.256)
N (0.733, 0.190, 0.547)
N (0.733, 0.310, 0.047)
N (0.856, 0.685, 0.548)
N (0.856, 0.815, 0.048)

# 4
A geometry-optimized AlFeW2 structure, computed with PBE-GGA.

**Space-group type**: Immm, No. 71
**M_tot**: 0.4 μB/f.u.
**Calculated density**: 13.1 g/cm³
**ΔH_f (0 K)**: -0.040 eV/atom

a = 5.039 Å, b = 5.039 Å, c = 5.039 Å
α = 143.62°, β = 130.33°, γ = 63.11°
Sites, in units of the cell vectors:
Al (0.000, 0.000, 0.000)
Fe (0.500, 0.500, 0.000)
W (0.258, 0.758, 0.500)
W (0.742, 0.242, 0.500)

The highest calculated density belongs to which entry? AlFeW2